The following is a DFT calculation (PBE-GGA) of a geometry-optimized SrAcCuNi structure.

The value obtained for the formation enthalpy at 0 K is -0.161 eV/atom. The total magnetization is 0.00 μB/cell.

The space group is R3m (No. 160, hexagonal axes) and the conventional cell measures 4.2690, 4.2690 and 23.1161 Å, with angles of 90.00, 90.00 and 120.00 degrees. The distinct sites, in fractional coordinates, are Sr at (0.0000, 0.0000, 0.0000), Ac at (0.0000, 0.0000, 0.1691), Cu at (0.0000, 0.0000, 0.4197) and Ni at (0.0000, 0.0000, 0.7603).